(1)
# Sr2Ga4Ag5, optimized geometry, DFT GGA-PBE
data_Sr2Ga4Ag5
_chemical_formula_sum 'Sr2 Ga4 Ag5'
_symmetry_space_group_name_H-M 'P 1'
_symmetry_Int_Tables_number 1
_cell_length_a 5.862
_cell_length_b 7.332
_cell_length_c 7.166
_cell_angle_alpha 72.56
_cell_angle_beta 65.86
_cell_angle_gamma 66.44
loop_
_symmetry_equiv_pos_as_xyz
'x,y,z'
loop_
_atom_site_label
_atom_site_type_symbol
_atom_site_fract_x
_atom_site_fract_y
_atom_site_fract_z
Ag1 Ag 0.278 0.761 0.170
Ga1 Ga 0.366 0.072 0.197
Ag2 Ag 0.209 0.239 0.830
Ga2 Ga 0.229 0.447 0.095
Sr1 Sr 0.717 0.223 0.343
Ag3 Ag 0.791 0.761 0.170
Ga3 Ga 0.634 0.928 0.803
Ag4 Ag 0.000 0.500 0.500
Ag5 Ag 0.722 0.239 0.830
Ga4 Ga 0.771 0.553 0.905
Sr2 Sr 0.283 0.777 0.657
# calculated formation energy	-193	meV per atom
# size of the total moment	0.000	μB/atom
# ΔE to the lowest computed polymorph	5.3	kJ per mole of atoms
# DOS at the Fermi energy	5.29	states/eV per cell

***

(2)
# AlCu2Au, optimized geometry, DFT GGA-PBE
data_AlCu2Au
_chemical_formula_sum 'Al1 Cu2 Au1'
_symmetry_space_group_name_H-M 'P 1'
_symmetry_Int_Tables_number 1
_cell_length_a 2.976
_cell_length_b 3.359
_cell_length_c 5.677
_cell_angle_alpha 90.00
_cell_angle_beta 90.00
_cell_angle_gamma 90.00
loop_
_symmetry_equiv_pos_as_xyz
'x,y,z'
loop_
_atom_site_label
_atom_site_type_symbol
_atom_site_fract_x
_atom_site_fract_y
_atom_site_fract_z
Cu1 Cu 0.000 0.000 0.023
Au1 Au 0.500 0.500 0.750
Al1 Al 0.500 0.500 0.250
Cu2 Cu 0.000 0.000 0.477
# calculated formation energy	-177	meV per atom
# size of the total moment	0.000	μB/atom
# DOS at the Fermi energy	1.38	states/eV per cell

***

(3)
# PmPrSc2In4, optimized geometry, DFT GGA-PBE
data_PmPrSc2In4
_chemical_formula_sum 'Pm1 Pr1 Sc2 In4'
_symmetry_space_group_name_H-M 'P 1'
_symmetry_Int_Tables_number 1
_cell_length_a 5.271
_cell_length_b 5.271
_cell_length_c 9.144
_cell_angle_alpha 73.25
_cell_angle_beta 73.25
_cell_angle_gamma 60.00
loop_
_symmetry_equiv_pos_as_xyz
'x,y,z'
loop_
_atom_site_label
_atom_site_type_symbol
_atom_site_fract_x
_atom_site_fract_y
_atom_site_fract_z
In1 In 0.874 0.874 0.377
In2 In 0.376 0.376 0.873
Pm1 Pm 0.500 0.500 0.500
In3 In 0.624 0.624 0.127
In4 In 0.126 0.126 0.623
Sc1 Sc 0.750 0.750 0.750
Pr1 Pr 0.000 0.000 0.000
Sc2 Sc 0.250 0.250 0.250
# calculated formation energy	-431	meV per atom
# size of the total moment	0.000	μB/atom
# DOS at the Fermi energy	4.36	states/eV per cell

***

(4)
# ScAgRu2, optimized geometry, DFT GGA-PBE
data_ScAgRu2
_chemical_formula_sum 'Sc1 Ag1 Ru2'
_symmetry_space_group_name_H-M 'P 1'
_symmetry_Int_Tables_number 1
_cell_length_a 2.832
_cell_length_b 2.832
_cell_length_c 8.174
_cell_angle_alpha 90.00
_cell_angle_beta 90.00
_cell_angle_gamma 90.00
loop_
_symmetry_equiv_pos_as_xyz
'x,y,z'
loop_
_atom_site_label
_atom_site_type_symbol
_atom_site_fract_x
_atom_site_fract_y
_atom_site_fract_z
Ru1 Ru 0.000 0.000 0.005
Sc1 Sc 0.500 0.500 0.250
Ag1 Ag 0.500 0.500 0.750
Ru2 Ru 0.000 0.000 0.495
# calculated formation energy	256	meV per atom
# size of the total moment	0.184	μB/atom
# ΔE to the lowest computed polymorph	22.0	kJ per mole of atoms
# DOS at the Fermi energy	6.28	states/eV per cell

***

(5)
# Na2CeInI8, optimized geometry, DFT GGA-PBE
data_Na2CeInI8
_chemical_formula_sum 'Na2 Ce1 In1 I8'
_symmetry_space_group_name_H-M 'P 1'
_symmetry_Int_Tables_number 1
_cell_length_a 8.152
_cell_length_b 6.529
_cell_length_c 10.161
_cell_angle_alpha 89.93
_cell_angle_beta 90.00
_cell_angle_gamma 90.03
loop_
_symmetry_equiv_pos_as_xyz
'x,y,z'
loop_
_atom_site_label
_atom_site_type_symbol
_atom_site_fract_x
_atom_site_fract_y
_atom_site_fract_z
Na1 Na 0.500 0.500 0.222
In1 In 0.000 0.000 0.500
I1 I 0.323 0.241 0.000
Ce1 Ce 0.000 0.000 0.000
I2 I 0.477 0.246 0.500
I3 I 0.146 0.750 0.225
I4 I 0.854 0.250 0.775
I5 I 0.677 0.759 0.000
I6 I 0.147 0.751 0.775
I7 I 0.853 0.249 0.225
Na2 Na 0.500 0.500 0.778
I8 I 0.523 0.754 0.500
# size of the total moment	0.022	μB/atom
# DOS at the Fermi energy	1.86	states/eV per cell
# raw formation energy	-923	meV per atom

***

(6)
# Sr2ErInSe5, optimized geometry, DFT GGA-PBE
data_Sr2ErInSe5
_chemical_formula_sum 'Sr4 Er2 In2 Se10'
_symmetry_space_group_name_H-M 'P 1'
_symmetry_Int_Tables_number 1
_cell_length_a 4.192
_cell_length_b 9.476
_cell_length_c 13.107
_cell_angle_alpha 90.00
_cell_angle_beta 90.00
_cell_angle_gamma 102.78
loop_
_symmetry_equiv_pos_as_xyz
'x,y,z'
loop_
_atom_site_label
_atom_site_type_symbol
_atom_site_fract_x
_atom_site_fract_y
_atom_site_fract_z
Se1 Se 0.689 0.378 0.870
Sr1 Sr 0.133 0.265 0.316
Se2 Se 0.288 0.575 0.667
Sr2 Sr 0.116 0.232 0.680
Se3 Se 0.506 0.011 0.265
Se4 Se 0.311 0.622 0.370
Er1 Er 0.788 0.575 0.521
In1 In 0.449 0.899 0.442
Sr3 Sr 0.867 0.735 0.816
Se5 Se 0.494 0.989 0.765
Se6 Se 0.712 0.425 0.167
Se7 Se 0.949 0.897 0.562
Se8 Se 0.639 0.278 0.502
In2 In 0.551 0.101 0.942
Er2 Er 0.212 0.425 0.021
Se9 Se 0.051 0.103 0.062
Se10 Se 0.361 0.722 0.002
Sr4 Sr 0.884 0.768 0.180
# size of the total moment	0.000	μB/atom
# raw formation energy	-1592	meV per atom